A geometry-optimized Na2MoBr2O2 structure. Source: Alexandria via LeMat-Bulk, functional GGA+U.

The size of the total moment comes out at 0.0048 μB/atom. As for the crystal system: monoclinic. The calculation puts the raw total energy at -4.6162 eV per atom.

It has space group C2/m (No. 12), with a = 12.5589 Å, b = 3.9830 Å, c = 7.1095 Å, α = 90.00°, β = 122.70° and γ = 90.00°. Symmetry generates all atoms from Na at (0.2220, 0.0000, 0.2951), Mo at (0.0000, 0.0000, 0.5000), Br at (0.0675, 0.5000, 0.8107) and O at (0.1625, 0.0000, 0.5560).